1.
Below is a geometry-optimized SbMo2Cl structure, with properties calculated at the PBEsol level.

The structure in extended XYZ format:
```
4
Lattice="-1.2051 1.7023 2.1469 0.6713 -2.5685 4.5001 3.9216 1.4647 3.1265" Properties=species:S:1:pos:R:3 pbc="T T T"
Cl 2.2965 -0.5519 3.8133
Mo 0.3777 0.9363 3.6428
Mo 3.0101 -0.3378 6.1307
Sb -0.6025 0.8512 1.0734
```

**N(E_F)**: 0.959 states/eV per atom
**V**: 68 Å³/cell
**Polymorph energy (0 for the lowest one)**: 2.792 eV/f.u.
**Raw formation energy**: 0.60 eV per atom
**Total magnetic moment**: 0.0 μB per formula unit
**Total energy**: -27.708 eV/f.u.

=====

2.
Below is a geometry-optimized SmMnB4 structure, with properties calculated at the PBEsol level.

The structure in extended XYZ format:
```
24
Lattice="3.4157 0.0000 0.0000 0.0000 5.9388 0.0000 0.0000 0.0000 11.4915" Properties=species:S:1:pos:R:3 pbc="T T T"
B 1.7079 4.6169 2.0973
Mn 0.0000 0.7441 4.7950
B 1.7079 2.8213 2.1745
B 1.7079 5.1041 0.3770
B 1.7079 5.7907 3.5712
Mn 0.0000 5.1948 6.6966
B 1.7079 0.8348 11.1145
B 1.7079 3.6299 10.9691
B 1.7079 2.3090 0.5225
B 1.7079 1.3219 9.3942
B 1.7079 0.6605 6.2683
B 1.7079 4.2914 7.8431
B 1.7079 2.1346 5.3688
B 1.7079 0.1481 7.9203
B 1.7079 3.1176 9.3170
B 1.7079 3.8042 6.1228
Mn 0.0000 3.7135 0.9508
Sm 0.0000 2.2288 7.4769
Sm 0.0000 3.7101 4.0146
Sm 0.0000 0.7407 1.7311
B 1.7079 1.6475 3.6484
Sm 0.0000 5.1982 9.7604
Mn 0.0000 2.2254 10.5407
B 1.7079 5.2784 5.2233
```

**DFT formation energy**: -0.624 eV per atom
**N(E_F)**: 0.220 states/eV per atom
**V**: 233 Å³/cell
**Total magnetic moment**: 0.9 μB per formula unit
**Total energy**: -46.666 eV/f.u.

=====

3.
Below is a geometry-optimized LiCdAg2 structure, with properties calculated at the PBEsol level.

The structure in extended XYZ format:
```
4
Lattice="-2.9424 2.5489 -1.2047 -1.6206 -2.9540 -2.2919 -0.0049 -0.9627 4.8670" Properties=species:S:1:pos:R:3 pbc="T T T"
Ag -2.6144 0.6918 0.9570
Cd -2.2815 -0.2026 -1.7483
Ag 0.0000 0.0000 0.0000
Li -1.9535 -2.0597 0.4134
```

**DFT formation energy**: -0.192 eV per atom
**N(E_F)**: 0.285 states/eV per atom
**V**: 67 Å³/cell
**Total magnetic moment**: 0.0 μB per formula unit
**Total energy**: -10.554 eV/f.u.

=====

4.
Below is a geometry-optimized Sr2YTl structure, with properties calculated at the PBEsol level.

The structure in extended XYZ format:
```
4
Lattice="-2.7728 -0.5338 -2.5921 0.9034 -0.6107 -3.6747 -0.2790 -11.7666 -0.1123" Properties=species:S:1:pos:R:3 pbc="T T T"
Sr -1.6025 -9.9750 -4.7338
Sr -0.5459 -2.9361 -1.6454
Y -1.0742 -6.4556 -3.1896
Tl 0.0000 0.0000 0.0000
```

**DFT formation energy**: 0.006 eV per atom
**N(E_F)**: 1.362 states/eV per atom
**V**: 147 Å³/cell
**Polymorph energy (0 for the lowest one)**: 0.665 eV/f.u.
**Total magnetic moment**: 0.4 μB per formula unit
**Total energy**: -13.110 eV/f.u.

=====

5.
Below is a geometry-optimized NbCl2O structure, with properties calculated at the PBEsol level.

The structure in extended XYZ format:
```
8
Lattice="3.8752 0.0000 0.0000 1.9376 6.4766 0.0000 1.9376 0.0000 6.4766" Properties=species:S:1:pos:R:3 pbc="T T T"
O 1.9376 0.0000 0.0000
Nb 0.0000 0.0000 0.0000
Cl 5.3284 5.4862 2.2479
Cl 5.3284 0.9904 4.2286
Nb 4.8440 3.2383 3.2383
Cl 4.3596 4.2286 5.4862
O 2.9064 3.2383 3.2383
Cl 4.3596 2.2479 0.9904
```

**N(E_F)**: 0.416 states/eV per atom
**V**: 163 Å³/cell
**Raw formation energy**: -1.47 eV per atom
**Total magnetic moment**: 1.0 μB per formula unit
**Total energy**: -25.961 eV/f.u.

=====

6.
Below is a geometry-optimized TeIrIO2 structure, with properties calculated at the PBEsol level.

The structure in extended XYZ format:
```
5
Lattice="-0.7768 -0.3084 3.8192 -2.8475 -2.5610 -0.7860 4.1854 -4.7960 0.4640" Properties=species:S:1:pos:R:3 pbc="T T T"
Te 0.0000 0.0000 0.0000
I 2.0927 -2.3980 0.2320
O -0.3884 -0.1542 1.9096
Ir 0.2805 -3.8327 1.7486
O -1.4237 -1.2805 -0.3930
```

**N(E_F)**: 0.954 states/eV per atom
**V**: 98 Å³/cell
**Polymorph energy (0 for the lowest one)**: 0.886 eV/f.u.
**Raw formation energy**: 0.38 eV per atom
**Total magnetic moment**: 0.7 μB per formula unit
**Total energy**: -23.709 eV/f.u.

=====

7.
Below is a geometry-optimized CrReRh2 structure, with properties calculated at the PBEsol level.

The structure in extended XYZ format:
```
4
Lattice="3.7215 0.0000 0.0000 0.0000 3.7215 0.0000 -1.8608 -1.8608 3.8001" Properties=species:S:1:pos:R:3 pbc="T T T"
Cr 1.8608 1.8608 0.0000
Rh 1.8608 0.0000 1.9001
Re 0.0000 0.0000 0.0000
Rh 0.0000 1.8608 1.9001
```

**DFT formation energy**: -0.071 eV per atom
**N(E_F)**: 0.942 states/eV per atom
**V**: 53 Å³/cell
**Polymorph energy (0 for the lowest one)**: 0.290 eV/f.u.
**Total magnetic moment**: 0.0 μB per formula unit
**Total energy**: -40.133 eV/f.u.

=====

8.
Below is a geometry-optimized Li3ZnCl structure, with properties calculated at the PBEsol level.

The structure in extended XYZ format:
```
5
Lattice="-4.2378 1.6983 -0.2234 -1.3913 -3.7605 -2.1946 -0.9992 -1.9667 4.0034" Properties=species:S:1:pos:R:3 pbc="T T T"
Zn -3.3142 -2.0144 0.7927
Li -2.1189 0.8491 -0.1117
Li -0.4996 -0.9833 2.0017
Li -0.6956 -1.8802 -1.0973
Cl 0.0000 0.0000 0.0000
```

**N(E_F)**: 0.547 states/eV per atom
**V**: 96 Å³/cell
**Raw formation energy**: -0.49 eV per atom
**Total magnetic moment**: 0.0 μB per formula unit
**Total energy**: -11.960 eV/f.u.

=====

9.
Below is a geometry-optimized CsNaHg2 structure, with properties calculated at the PBEsol level.

The structure in extended XYZ format:
```
4
Lattice="5.8251 0.0000 0.0000 2.9126 5.0447 0.0000 2.9126 1.6816 4.7562" Properties=species:S:1:pos:R:3 pbc="T T T"
Cs 5.8251 3.3631 2.3781
Na 0.0000 0.0000 0.0000
Hg 8.7377 5.0447 3.5672
Hg 2.9126 1.6816 1.1891
```

**DFT formation energy**: -0.129 eV per atom
**N(E_F)**: 0.571 states/eV per atom
**V**: 140 Å³/cell
**Total magnetic moment**: 0.0 μB per formula unit
**Total energy**: -3.993 eV/f.u.

=====

10.
Below is a geometry-optimized CdSb2TeBr structure, with properties calculated at the PBEsol level.

The structure in extended XYZ format:
```
5
Lattice="5.5091 0.0000 0.0000 0.0000 5.5091 0.0000 0.0000 0.0000 5.4303" Properties=species:S:1:pos:R:3 pbc="T T T"
Cd 2.7545 2.7545 2.7152
Te 0.0000 0.0000 2.7152
Br 0.0000 0.0000 0.0000
Sb 2.7545 0.0000 0.0000
Sb 0.0000 2.7545 0.0000
```

**N(E_F)**: 1.416 states/eV per atom
**V**: 165 Å³/cell
**Raw formation energy**: 0.88 eV per atom
**Total magnetic moment**: 0.0 μB per formula unit
**Total energy**: -11.314 eV/f.u.

=====

11.
Below is a geometry-optimized ZrOs2Rh structure, with properties calculated at the PBEsol level.

The structure in extended XYZ format:
```
4
Lattice="2.8336 0.0000 0.0000 -1.4168 4.5941 0.0056 0.0000 -0.8934 4.7269" Properties=species:S:1:pos:R:3 pbc="T T T"
Zr 1.4168 2.0635 1.2541
Rh 1.4168 -0.3880 2.3709
Os 1.4168 3.6621 4.5208
Os 0.0000 1.6172 3.6827
```

**DFT formation energy**: -0.126 eV per atom
**N(E_F)**: 0.814 states/eV per atom
**V**: 62 Å³/cell
**Polymorph energy (0 for the lowest one)**: 0.439 eV/f.u.
**Total magnetic moment**: 0.0 μB per formula unit
**Total energy**: -42.162 eV/f.u.

=====

12.
Below is a geometry-optimized TcAsRu structure, with properties calculated at the PBEsol level.

The structure in extended XYZ format:
```
3
Lattice="-3.4611 2.1675 0.1721 -2.4235 0.2445 -3.2823 -3.6123 -1.9125 -0.0203" Properties=species:S:1:pos:R:3 pbc="T T T"
Tc 0.0000 0.0000 0.0000
As -4.7484 0.2498 -1.5653
Ru -7.1227 0.3746 -2.3479
```

**DFT formation energy**: 0.131 eV per atom
**N(E_F)**: 0.859 states/eV per atom
**V**: 48 Å³/cell
**Polymorph energy (0 for the lowest one)**: 0.310 eV/f.u.
**Total magnetic moment**: 0.0 μB per formula unit
**Total energy**: -26.153 eV/f.u.

=====

13.
Below is a geometry-optimized SrZrCl2 structure, with properties calculated at the PBEsol level.

The structure in extended XYZ format:
```
4
Lattice="3.3519 0.0000 0.0000 0.0000 3.4238 0.0000 -1.6759 -1.7119 9.2873" Properties=species:S:1:pos:R:3 pbc="T T T"
Cl 1.6759 0.0000 4.1023
Sr 0.0000 0.0000 8.4261
Cl 0.0000 0.0000 0.7161
Zr 0.0000 1.7119 5.3301
```

**N(E_F)**: 0.677 states/eV per atom
**V**: 107 Å³/cell
**Polymorph energy (0 for the lowest one)**: 0.503 eV/f.u.
**Raw formation energy**: -1.07 eV per atom
**Total magnetic moment**: 0.3 μB per formula unit
**Total energy**: -19.208 eV/f.u.